RePt2W: relaxed, PBE.

The space group is I-4m2 (No. 119) and the conventional cell measures 4.001, 4.001 and 7.708 Å, with angles of 90.00, 90.00 and 90.00 degrees. The distinct sites, in fractional coordinates, are Re at (0.000, 0.000, 0.000), Pt at (0.000, 0.000, 0.500), Pt at (0.000, 0.500, 0.750) and W at (0.000, 0.500, 0.250).

The magnetization comes out at 0.0 μB per cell. The value obtained for the energy of formation from the pure elements is -107 meV/atom. For the energy relative to the lowest polymorph listed for this composition, the calculation gives 0.029 eV per atom.


Re2Pt2W: relaxed, PBE.

The space group is I4/mmm (No. 139) and the conventional cell measures 3.718, 3.718 and 12.365 Å, with angles of 90.00, 90.00 and 90.00 degrees. The distinct sites, in fractional coordinates, are Re at (0.000, 0.000, 0.094), Pt at (0.000, 0.500, 0.250) and W at (0.000, 0.000, 0.500).

The magnetization comes out at 0.0 μB per cell. The value obtained for the energy of formation from the pure elements is 536 meV/atom. For the energy relative to the lowest polymorph listed for this composition, the calculation gives 0.135 eV per atom.


RePt3W: relaxed, PBE.

The space group is Pm-3m (No. 221) and the conventional cell measures 4.781, 4.781 and 4.781 Å, with angles of 90.00, 90.00 and 90.00 degrees. The distinct sites, in fractional coordinates, are Re at (0.000, 0.000, 0.000), Pt at (0.000, 0.000, 0.500) and W at (0.500, 0.500, 0.500).

The magnetization comes out at 3.4 μB per cell. The value obtained for the energy of formation from the pure elements is 1834 meV/atom. For the energy relative to the lowest polymorph listed for this composition, the calculation gives 0.000 eV per atom.